5
Lattice="4.504 0.000 0.000 0.000 4.504 0.000 0.000 0.000 4.504" Properties=species:S:1:pos:R:3 comment="MnS3I (GGA-PBEsol, optimized geometry)" e_form_raw_ev_per_atom=0.188 pbc="T T T"
I 2.252 2.252 2.252
S 0.000 2.252 0.000
S 0.000 0.000 2.252
S 2.252 0.000 0.000
Mn 0.000 0.000 0.000